# CsRuC2

A crystal of CsRuC2 relaxed with PBEsol (meta-GGA SCAN, Alexandria via LeMat-Bulk).

Calculated values
- ΔE_f (eV/atom) = 0.53

```
data_CsRuC2
_chemical_formula_sum 'Cs2 Ru2 C4'
_cell_length_a 6.0919
_cell_length_b 6.0919
_cell_length_c 6.0919
_cell_angle_alpha 60.00
_cell_angle_beta 60.00
_cell_angle_gamma 60.00
_symmetry_space_group_name_H-M 'P 1'
_symmetry_Int_Tables_number 1
loop_
_symmetry_equiv_pos_as_xyz
'x,y,z'
loop_
_atom_site_label
_atom_site_type_symbol
_atom_site_fract_x
_atom_site_fract_y
_atom_site_fract_z
Cs1 Cs 0.1250 0.1250 0.1250
Cs2 Cs 0.8750 0.8750 0.8750
Ru1 Ru 0.3750 0.3750 0.3750
Ru2 Ru 0.6250 0.6250 0.6250
C1 C 0.0000 0.5000 0.5000
C2 C 0.5000 0.0000 0.5000
C3 C 0.5000 0.5000 0.0000
C4 C 0.5000 0.5000 0.5000
```

# CsCS2

A crystal of CsCS2 relaxed with PBEsol (meta-GGA SCAN, Alexandria via LeMat-Bulk).

Calculated values
- formation energy without anion corrections (eV per atom) = -0.08

```
data_CsCS2
_chemical_formula_sum 'Cs1 C1 S2'
_cell_length_a 6.2768
_cell_length_b 6.2768
_cell_length_c 6.2768
_cell_angle_alpha 55.19
_cell_angle_beta 55.19
_cell_angle_gamma 55.19
_symmetry_space_group_name_H-M 'P 1'
_symmetry_Int_Tables_number 1
loop_
_symmetry_equiv_pos_as_xyz
'x,y,z'
loop_
_atom_site_label
_atom_site_type_symbol
_atom_site_fract_x
_atom_site_fract_y
_atom_site_fract_z
Cs1 Cs 0.0000 0.0000 0.0000
C1 C 0.5000 0.5000 0.5000
S1 S 0.3995 0.3995 0.3995
S2 S 0.6005 0.6005 0.6005
```

# CsSb2TeC

A crystal of CsSb2TeC relaxed with PBEsol (meta-GGA SCAN, Alexandria via LeMat-Bulk).

Calculated values
- formation energy without anion corrections (eV per atom) = 0.91

```
data_CsSb2TeC
_chemical_formula_sum 'Cs1 Sb2 Te1 C1'
_cell_length_a 5.0253
_cell_length_b 5.0253
_cell_length_c 5.0936
_cell_angle_alpha 90.00
_cell_angle_beta 90.00
_cell_angle_gamma 90.00
_symmetry_space_group_name_H-M 'P 1'
_symmetry_Int_Tables_number 1
loop_
_symmetry_equiv_pos_as_xyz
'x,y,z'
loop_
_atom_site_label
_atom_site_type_symbol
_atom_site_fract_x
_atom_site_fract_y
_atom_site_fract_z
Cs1 Cs 0.0000 0.0000 0.0000
Sb1 Sb 0.0000 0.5000 0.5000
Sb2 Sb 0.5000 0.0000 0.5000
Te1 Te 0.5000 0.5000 0.0000
C1 C 0.5000 0.5000 0.5000
```

# CsScTlC2

A crystal of CsScTlC2 relaxed with PBEsol (meta-GGA SCAN, Alexandria via LeMat-Bulk).

Calculated values
- ΔE_f (eV/atom) = 1.71

```
data_CsScTlC2
_chemical_formula_sum 'Cs1 Sc1 Tl1 C2'
_cell_length_a 4.5005
_cell_length_b 4.5005
_cell_length_c 5.6334
_cell_angle_alpha 90.00
_cell_angle_beta 90.00
_cell_angle_gamma 90.00
_symmetry_space_group_name_H-M 'P 1'
_symmetry_Int_Tables_number 1
loop_
_symmetry_equiv_pos_as_xyz
'x,y,z'
loop_
_atom_site_label
_atom_site_type_symbol
_atom_site_fract_x
_atom_site_fract_y
_atom_site_fract_z
Cs1 Cs 0.0000 0.0000 0.0000
Sc1 Sc 0.0000 0.0000 0.5000
Tl1 Tl 0.5000 0.5000 0.0000
C1 C 0.0000 0.5000 0.5000
C2 C 0.5000 0.0000 0.5000
```

# CsCSe2

A crystal of CsCSe2 relaxed with PBEsol (meta-GGA SCAN, Alexandria via LeMat-Bulk).

Calculated values
- formation energy without anion corrections (eV per atom) = 0.18

```
data_CsCSe2
_chemical_formula_sum 'Cs1 C1 Se2'
_cell_length_a 6.4698
_cell_length_b 6.4698
_cell_length_c 6.4698
_cell_angle_alpha 56.12
_cell_angle_beta 56.12
_cell_angle_gamma 56.12
_symmetry_space_group_name_H-M 'P 1'
_symmetry_Int_Tables_number 1
loop_
_symmetry_equiv_pos_as_xyz
'x,y,z'
loop_
_atom_site_label
_atom_site_type_symbol
_atom_site_fract_x
_atom_site_fract_y
_atom_site_fract_z
Cs1 Cs 0.0000 0.0000 0.0000
C1 C 0.5000 0.5000 0.5000
Se1 Se 0.3925 0.3925 0.3925
Se2 Se 0.6075 0.6075 0.6075
```

# CsSrC3

A crystal of CsSrC3 relaxed with PBEsol (meta-GGA SCAN, Alexandria via LeMat-Bulk).

Calculated values
- ΔE_f (eV/atom) = 2.46

```
data_CsSrC3
_chemical_formula_sum 'Cs1 Sr1 C3'
_cell_length_a 5.3676
_cell_length_b 5.3676
_cell_length_c 5.3676
_cell_angle_alpha 90.00
_cell_angle_beta 90.00
_cell_angle_gamma 90.00
_symmetry_space_group_name_H-M 'P 1'
_symmetry_Int_Tables_number 1
loop_
_symmetry_equiv_pos_as_xyz
'x,y,z'
loop_
_atom_site_label
_atom_site_type_symbol
_atom_site_fract_x
_atom_site_fract_y
_atom_site_fract_z
Cs1 Cs 0.0000 0.0000 0.0000
Sr1 Sr 0.5000 0.5000 0.5000
C1 C 0.0000 0.5000 0.5000
C2 C 0.5000 0.0000 0.5000
C3 C 0.5000 0.5000 0.0000
```

# Cs2TcC

A crystal of Cs2TcC relaxed with PBEsol (meta-GGA SCAN, Alexandria via LeMat-Bulk).

Calculated values
- ΔE_f (eV/atom) = 2.35

```
data_Cs2TcC
_chemical_formula_sum 'Cs2 Tc1 C1'
_cell_length_a 5.6588
_cell_length_b 5.6588
_cell_length_c 5.6588
_cell_angle_alpha 60.00
_cell_angle_beta 60.00
_cell_angle_gamma 60.00
_symmetry_space_group_name_H-M 'P 1'
_symmetry_Int_Tables_number 1
loop_
_symmetry_equiv_pos_as_xyz
'x,y,z'
loop_
_atom_site_label
_atom_site_type_symbol
_atom_site_fract_x
_atom_site_fract_y
_atom_site_fract_z
Cs1 Cs 0.2500 0.2500 0.2500
Cs2 Cs 0.7500 0.7500 0.7500
Tc1 Tc 0.0000 0.0000 0.0000
C1 C 0.5000 0.5000 0.5000
```

# CsTe2C

A crystal of CsTe2C relaxed with PBEsol (meta-GGA SCAN, Alexandria via LeMat-Bulk).

Calculated values
- formation energy without anion corrections (eV per atom) = 0.50

```
data_CsTe2C
_chemical_formula_sum 'Cs1 Te2 C1'
_cell_length_a 6.9337
_cell_length_b 6.9337
_cell_length_c 6.9337
_cell_angle_alpha 55.64
_cell_angle_beta 55.64
_cell_angle_gamma 55.64
_symmetry_space_group_name_H-M 'P 1'
_symmetry_Int_Tables_number 1
loop_
_symmetry_equiv_pos_as_xyz
'x,y,z'
loop_
_atom_site_label
_atom_site_type_symbol
_atom_site_fract_x
_atom_site_fract_y
_atom_site_fract_z
Cs1 Cs 0.0000 0.0000 0.0000
Te1 Te 0.3884 0.3884 0.3884
Te2 Te 0.6116 0.6116 0.6116
C1 C 0.5000 0.5000 0.5000
```

# CsTe3C

A crystal of CsTe3C relaxed with PBEsol (meta-GGA SCAN, Alexandria via LeMat-Bulk).

Calculated values
- formation energy without anion corrections (eV per atom) = 0.71

```
data_CsTe3C
_chemical_formula_sum 'Cs1 Te3 C1'
_cell_length_a 5.0593
_cell_length_b 5.0593
_cell_length_c 5.0593
_cell_angle_alpha 90.00
_cell_angle_beta 90.00
_cell_angle_gamma 90.00
_symmetry_space_group_name_H-M 'P 1'
_symmetry_Int_Tables_number 1
loop_
_symmetry_equiv_pos_as_xyz
'x,y,z'
loop_
_atom_site_label
_atom_site_type_symbol
_atom_site_fract_x
_atom_site_fract_y
_atom_site_fract_z
Cs1 Cs 0.0000 0.0000 0.0000
Te1 Te 0.0000 0.5000 0.5000
Te2 Te 0.5000 0.0000 0.5000
Te3 Te 0.5000 0.5000 0.0000
C1 C 0.5000 0.5000 0.5000
```

# CsTlC2

A crystal of CsTlC2 relaxed with PBEsol (meta-GGA SCAN, Alexandria via LeMat-Bulk).

Calculated values
- ΔE_f (eV/atom) = 2.78

```
data_CsTlC2
_chemical_formula_sum 'Cs1 Tl1 C2'
_cell_length_a 4.7736
_cell_length_b 4.7736
_cell_length_c 4.7736
_cell_angle_alpha 60.00
_cell_angle_beta 60.00
_cell_angle_gamma 60.00
_symmetry_space_group_name_H-M 'P 1'
_symmetry_Int_Tables_number 1
loop_
_symmetry_equiv_pos_as_xyz
'x,y,z'
loop_
_atom_site_label
_atom_site_type_symbol
_atom_site_fract_x
_atom_site_fract_y
_atom_site_fract_z
Cs1 Cs 0.0000 0.0000 0.0000
Tl1 Tl 0.5000 0.5000 0.5000
C1 C 0.2500 0.2500 0.2500
C2 C 0.7500 0.7500 0.7500
```